Entry from Alexandria: Ta2HgIrS after structural relaxation (PBE).

Cell and atoms, written as extended XYZ:
```
5
Lattice="-2.312 -2.321 -3.839 4.079 -2.538 -0.921 -1.555 -3.637 3.135" Properties=species:S:1:pos:R:3 pbc="T T T"
Hg 0.000 0.000 0.000
Ta -0.778 -1.818 1.567
Ta -1.156 -1.160 -1.920
Ir 2.039 -1.269 -0.461
S 0.106 -4.248 -0.813
```

E_form (uncorrected), eV/atom: 2.40
Size of the total moment, μB per atom: 0.03
Calculated density, g cm⁻³: 10.486

Entry from Alexandria: Th6HgIr3S2 after structural relaxation (PBE).

Cell and atoms, written as extended XYZ:
```
12
Lattice="-1.350 0.232 3.864 -6.069 -5.957 -1.763 8.011 -5.049 0.928" Properties=species:S:1:pos:R:3 pbc="T T T"
Th -4.365 -4.306 -1.267
Th 2.522 -5.697 1.223
Th -0.853 -8.659 0.222
Th -1.930 -5.077 1.805
Th 4.957 -6.468 4.295
Th 1.444 -2.115 2.806
Ir -2.662 -6.613 -0.533
Ir 3.254 -4.161 3.561
Ir -3.710 -2.862 1.050
S 0.421 -3.752 0.372
S 0.171 -7.023 2.656
Hg -0.675 0.116 1.932
```

E_form (uncorrected), eV/atom: -1.10
Size of the total moment, μB per atom: 0.00
Calculated density, g cm⁻³: 11.581

Entry from Alexandria: Ti2HgIrS after structural relaxation (PBE).

Cell and atoms, written as extended XYZ:
```
5
Lattice="4.478 0.000 0.000 0.000 4.462 0.000 0.000 0.000 4.478" Properties=species:S:1:pos:R:3 pbc="T T T"
S 0.000 0.000 0.000
Hg 2.239 2.231 2.239
Ti 2.239 0.000 0.000
Ti 0.000 0.000 2.239
Ir 0.000 2.231 0.000
```

E_form (uncorrected), eV/atom: -0.20
Size of the total moment, μB per atom: 0.00
Calculated density, g cm⁻³: 9.664

Entry from Alexandria: TiHgIr2S after structural relaxation (PBE).

Cell and atoms, written as extended XYZ:
```
5
Lattice="4.709 0.000 0.000 0.000 4.535 0.000 0.000 0.000 4.709" Properties=species:S:1:pos:R:3 pbc="T T T"
S 0.000 2.267 0.000
Hg 2.355 2.267 2.355
Ir 2.355 0.000 0.000
Ir 0.000 0.000 2.355
Ti 0.000 0.000 0.000
```

E_form (uncorrected), eV/atom: 0.77
Size of the total moment, μB per atom: 0.00
Calculated density, g cm⁻³: 10.981

Number 4 is which compound? TiHgIr2S